Below is an optimized crystal structure of LiWSe2, with properties calculated at the PBE level.

Lattice parameters (Å, degrees): 3.305 3.360 12.946 90.00 90.00 90.00
Space group Imm2 (No. 44)
Inequivalent atoms, fractional coordinates:
Li: 0.000 0.000 0.000 (multiplicity 2)
W: 0.000 0.500 0.227 (multiplicity 2)
Se: 0.000 0.000 0.580 (multiplicity 2)
Se: 0.000 0.500 0.820 (multiplicity 2)

Calculated values
Calculated total energy in eV per cell: -46.376
Offset from the most stable computed form in meV per atom: 45
D(E_F) in states/eV/f.u.: 3.19
Formation energy (no corrections) in kJ per mole of atoms: -32.6
Density in g/cm³: 8.06